The following is a DFT calculation (PBE with a Hubbard U) of a relaxed structure of Li2FeNiO.

a b c (Å): 3.738 4.352 3.738
angles (deg): 90.00 90.00 90.00
Site moments in Bohr magnetons follow the coordinates.
Positions (direct):
Ni 0.000 0.500 0.000  1.02
Li 0.000 0.000 0.500  0.00
O 0.000 0.000 0.000  -0.01
Li 0.500 0.000 0.000  -0.01
Fe 0.500 0.500 0.500  3.07

N(E_F): 0.92 states/eV/cell
total DFT energy (no corrections): -18.67 eV for the cell shown
calculated volume: 12.2 A^3/atom
SG: P4/mmm, No. 123